TaCu | GGA-PBE | relaxed

Computed properties:
calculated formation energy = 0.98 eV/f.u.
mass density = 12.90 g/cm³

a b c (Å): 6.315 6.315 6.315
angles (deg): 90.00 90.00 90.00
Space group Fd-3m (No. 227, origin choice 2)
Inequivalent atoms, fractional coordinates:
Ta  0.125  0.125  0.125
Cu  0.125  0.125  0.625

Ta2Cu | GGA-PBE | relaxed

Computed properties:
calculated formation energy = 0.50 eV/f.u.
mass density = 14.32 g/cm³

a b c (Å): 6.9378 6.9378 3.5515
angles (deg): 90.00 90.00 120.00
Space group P-62m (No. 189)
Inequivalent atoms, fractional coordinates:
Ta  0.0000  0.2620  0.0000
Ta  0.0000  0.5959  0.5000
Cu  0.0000  0.0000  0.5000
Cu  0.3333  0.6667  0.0000

Ta5Cu | GGA-PBE | relaxed

Computed properties:
calculated formation energy = 0.41 eV/f.u.
mass density = 15.38 g/cm³

a b c (Å): 10.283 3.424 6.243
angles (deg): 90.00 108.01 90.00
Space group C2/m (No. 12)
Inequivalent atoms, fractional coordinates:
Ta  0.000  0.000  0.000
Ta  0.162  0.500  0.334
Ta  0.164  0.500  0.829
Cu  0.000  0.000  0.500

Ta3Cu2 | GGA-PBE | relaxed

Computed properties:
calculated formation energy = 2.27 eV/f.u.
mass density = 13.15 g/cm³

a b c (Å): 4.2849 4.2849 5.3199
angles (deg): 90.00 90.00 120.00
Space group P-3m1 (No. 164)
Inequivalent atoms, fractional coordinates:
Ta  0.0000  0.0000  0.0000
Ta  0.3333  0.6667  0.3561
Cu  0.3333  0.6667  0.8523

TaCu5 | GGA-PBE | relaxed

Computed properties:
calculated formation energy = 0.55 eV/f.u.
mass density = 10.53 g/cm³

a b c (Å): 8.881 2.695 7.167
angles (deg): 90.00 113.51 90.00
Space group C2/m (No. 12)
Inequivalent atoms, fractional coordinates:
Ta  0.000  0.000  0.000
Cu  0.000  0.000  0.500
Cu  0.165  0.500  0.346
Cu  0.173  0.500  0.822

TaCu | GGA-PBE | relaxed

Computed properties:
calculated formation energy = 0.47 eV/f.u.
mass density = 13.29 g/cm³

a b c (Å): 3.820 3.820 8.378
angles (deg): 90.00 90.00 90.00
Space group I4_1/amd (No. 141, origin choice 2)
Inequivalent atoms, fractional coordinates:
Ta  0.000  0.250  0.375
Cu  0.000  0.250  0.875

TaCu | GGA-PBE | relaxed

Computed properties:
calculated formation energy = 0.85 eV/f.u.
mass density = 12.30 g/cm³

a b c (Å): 9.0001 9.0001 2.8241
angles (deg): 90.00 90.00 120.00
Space group P6_3/m (No. 176)
Inequivalent atoms, fractional coordinates:
Ta  0.1397  0.6388  0.2500
Cu  0.0376  0.2489  0.2500

Ta2Cu | GGA-PBE | relaxed

Computed properties:
calculated formation energy = 2.16 eV/f.u.
mass density = 12.88 g/cm³

a b c (Å): 7.600 7.600 7.600
angles (deg): 90.00 90.00 90.00
Space group Fd-3m (No. 227, origin choice 2)
Inequivalent atoms, fractional coordinates:
Ta  0.000  0.000  0.000
Cu  0.125  0.125  0.625